No. 1
This record from Alexandria describes Er2BeNi3P4 after structural relaxation. The functional is PBE.

Cell lengths 3.9044, 3.9044, 9.2551 Å; angles 90.00, 90.00, 90.00 degrees
Last column: nearest neighbours and their distance in Å.
Fractional positions:
Be: 0.5000 0.5000 0.5000  4 P 2.31
Er: 0.5000 0.0000 0.2475  8 P 2.97-3.01, 6 Ni 2.99-3.05, 2 Be 3.05
Er: 0.0000 0.5000 0.7525  8 P 2.97-3.01, 6 Ni 2.99-3.05, 2 Be 3.05
P: 0.0000 0.0000 0.0000  4 Ni 2.26
P: 0.0000 0.5000 0.3662  3 Ni 2.25-2.31, 2 Be 2.31
P: 0.5000 0.5000 0.0000  4 Ni 2.26
P: 0.5000 0.0000 0.6338  3 Ni 2.25-2.31, 2 Be 2.31
Ni: 0.0000 0.5000 0.1227  5 P 2.25-2.26
Ni: 0.5000 0.0000 0.8773  5 P 2.25-2.26
Ni: 0.0000 0.0000 0.5000  4 P 2.31

Output
calculated density	7.6	g/cm³
uncorrected energy	-6.06	eV per atom

=====

No. 2
This record from Alexandria describes Fe2AsC after structural relaxation. The functional is PBE.

Cell lengths 3.8738, 3.8738, 3.8738 Å; angles 60.00, 60.00, 60.00 degrees
Last column: nearest neighbours and their distance in Å.
Fractional positions:
As: 0.5000 0.5000 0.5000  8 Fe 2.37
Fe: 0.2500 0.2500 0.2500  4 As 2.37, 4 C 2.37
Fe: 0.7500 0.7500 0.7500  4 C 2.37, 4 As 2.37
C: 0.0000 0.0000 0.0000  8 Fe 2.37

Output
calculated density	8.0	g/cm³
uncorrected energy	-6.82	eV per atom

=====

No. 3
This record from Alexandria describes CeY10Tm6 after structural relaxation. The functional is PBE.

Cell lengths 6.8114, 9.6214, 9.6214 Å; angles 120.00, 90.00, 90.00 degrees
Last column: nearest neighbours and their distance in Å.
Fractional positions:
Y: 0.8154 0.7252 0.7252  5 Tm 3.35-3.62, 1 Ce 3.41, 4 Y 3.65-3.74
Y: 0.8154 0.2748 0.0000  5 Tm 3.35-3.62, 1 Ce 3.41, 4 Y 3.65-3.74
Y: 0.1846 0.2748 0.2748  5 Tm 3.35-3.62, 1 Ce 3.41, 4 Y 3.65-3.74
Y: 0.0000 0.6667 0.3333  8 Y 3.41-3.74, 6 Tm 3.66
Y: 0.5000 0.3333 0.6667  6 Tm 3.30, 2 Y 3.41
Y: 0.0000 0.3333 0.6667  8 Y 3.41-3.74, 6 Tm 3.66
Y: 0.1846 0.0000 0.7252  5 Tm 3.35-3.62, 1 Ce 3.41, 4 Y 3.65-3.74
Y: 0.5000 0.6667 0.3333  6 Tm 3.30, 2 Y 3.41
Y: 0.1846 0.7252 0.0000  5 Tm 3.35-3.62, 1 Ce 3.41, 4 Y 3.65-3.74
Y: 0.8154 0.0000 0.2748  5 Tm 3.35-3.62, 1 Ce 3.41, 4 Y 3.65-3.74
Tm: 0.6959 0.3766 0.3766  9 Y 3.30-3.66, 1 Tm 3.57
Tm: 0.6959 0.0000 0.6234  9 Y 3.30-3.66, 1 Tm 3.57
Tm: 0.3041 0.3766 0.0000  9 Y 3.30-3.66, 1 Tm 3.57
Tm: 0.6959 0.6234 0.0000  9 Y 3.30-3.66, 1 Tm 3.57
Tm: 0.3041 0.0000 0.3766  9 Y 3.30-3.66, 1 Tm 3.57
Tm: 0.3041 0.6234 0.6234  9 Y 3.30-3.66, 1 Tm 3.57
Ce: 0.5000 0.0000 0.0000  6 Y 3.41

Output
calculated density	6.2	g/cm³
uncorrected energy	-5.58	eV per atom

=====

No. 4
This record from Alexandria describes La3ZnAg3 after structural relaxation. The functional is PBE.

Cell lengths 4.5053, 5.9927, 15.2570 Å; angles 84.50, 81.51, 67.92 degrees
Last column: nearest neighbours and their distance in Å.
Fractional positions:
Zn: 0.7534 0.1020 0.3911  3 Ag 2.64-2.81
Zn: 0.2466 0.8980 0.6089  3 Ag 2.64-2.81
La: 0.5444 0.3050 0.6061  4 Zn 3.19-3.48, 7 Ag 3.21-3.38
La: 0.2535 0.2574 0.2357  6 Ag 3.20-3.36, 2 Zn 3.34
La: 0.6054 0.7094 0.0798  7 Ag 3.16-3.38
La: 0.7465 0.7426 0.7643  6 Ag 3.20-3.36, 2 Zn 3.34
La: 0.3946 0.2906 0.9202  7 Ag 3.16-3.38
La: 0.4556 0.6950 0.3939  4 Zn 3.19-3.48, 7 Ag 3.21-3.38
Ag: 0.8906 0.1404 0.0783  2 Ag 2.89, 1 La 3.16
Ag: 0.0355 0.1670 0.7620  1 Zn 2.81, 1 Ag 2.89
Ag: 0.8643 0.7267 0.5447  2 Zn 2.64, 1 Ag 2.91
Ag: 0.1094 0.8596 0.9217  2 Ag 2.89, 1 La 3.16
Ag: 0.9645 0.8330 0.2380  1 Zn 2.81, 1 Ag 2.89
Ag: 0.1357 0.2733 0.4553  2 Zn 2.64, 1 Ag 2.91

Output
calculated density	7.1	g/cm³
uncorrected energy	-3.78	eV per atom